DFT (GGA-PBE) results for a relaxed structure of PuPa2ZnN5.

Uncorrected energy   -9.560 eV per atom
Energy relative to the elements, uncorrected   -1.09 eV per atom

Lattice parameters (Å, degrees): 3.480 6.943 10.847 90.00 90.00 104.51
Fractional positions:
Pu 0.808 0.615 0.485
Pu 0.192 0.385 0.985
Pa 0.880 0.760 0.763
Pa 0.137 0.275 0.687
Pa 0.120 0.240 0.263
Pa 0.863 0.725 0.187
Zn 0.492 0.985 0.991
Zn 0.508 0.015 0.491
N 0.348 0.696 0.053
N 0.708 0.416 0.822
N 0.483 0.966 0.802
N 0.302 0.604 0.644
N 0.967 0.933 0.577
N 0.652 0.304 0.553
N 0.292 0.584 0.322
N 0.517 0.034 0.302
N 0.698 0.396 0.144
N 0.033 0.067 0.077

***

DFT (GGA-PBE) results for a relaxed structure of Pu3ZrPa2N6.

Uncorrected energy   -11.532 eV per atom
Energy relative to the elements, uncorrected   -1.49 eV per atom

Lattice parameters (Å, degrees): 5.993 5.993 5.980 99.57 99.57 120.00
Fractional positions:
Pu 0.165 0.835 0.500
Pu 0.835 0.165 0.500
Pu 0.500 0.500 0.500
Zr 0.000 0.000 0.000
Pa 0.333 0.667 0.000
Pa 0.667 0.333 0.000
N 0.922 0.594 0.766
N 0.751 0.751 0.236
N 0.078 0.406 0.234
N 0.594 0.922 0.766
N 0.249 0.249 0.764
N 0.406 0.078 0.234

***

DFT (GGA-PBE) results for a relaxed structure of PuZrPa2N5.

Uncorrected energy   -10.595 eV per atom
Energy relative to the elements, uncorrected   -1.32 eV per atom

Lattice parameters (Å, degrees): 3.433 7.499 10.048 90.00 90.00 103.23
Fractional positions:
Pu 0.526 0.051 0.981
Pu 0.474 0.949 0.481
Zr 0.781 0.561 0.501
Zr 0.219 0.439 0.001
Pa 0.860 0.720 0.791
Pa 0.126 0.252 0.698
Pa 0.140 0.280 0.291
Pa 0.874 0.748 0.198
N 0.365 0.731 0.988
N 0.694 0.387 0.862
N 0.520 0.039 0.751
N 0.277 0.555 0.666
N 0.920 0.841 0.586
N 0.635 0.269 0.488
N 0.306 0.613 0.362
N 0.480 0.961 0.251
N 0.723 0.445 0.166
N 0.080 0.159 0.086

***

DFT (GGA-PBE) results for a relaxed structure of PuZrPa2N6.

Uncorrected energy   -10.584 eV per atom
Energy relative to the elements, uncorrected   -1.40 eV per atom

Lattice parameters (Å, degrees): 5.879 5.879 5.978 60.55 60.55 60.00
Fractional positions:
Pu 0.804 0.804 0.587
Zr 0.305 0.305 0.085
Pa 0.526 0.526 0.423
Pa 0.026 0.026 0.921
N 0.618 0.201 0.249
N 0.201 0.932 0.249
N 0.932 0.618 0.249
N 0.415 0.701 0.751
N 0.701 0.134 0.751
N 0.134 0.415 0.751

***

DFT (GGA-PBE) results for a relaxed structure of PuZr3Pa2N6.

Uncorrected energy   -10.707 eV per atom
Energy relative to the elements, uncorrected   -1.63 eV per atom

Lattice parameters (Å, degrees): 5.829 5.829 5.896 99.43 99.43 120.08
Fractional positions:
Pu 0.000 0.000 0.000
Zr 0.164 0.836 0.500
Zr 0.836 0.164 0.500
Zr 0.500 0.500 0.500
Pa 0.333 0.667 0.000
Pa 0.667 0.333 0.000
N 0.911 0.572 0.734
N 0.750 0.750 0.266
N 0.089 0.428 0.266
N 0.572 0.911 0.734
N 0.250 0.250 0.734
N 0.428 0.089 0.266

***

DFT (GGA-PBE) results for a relaxed structure of PuZr4Pa3N8.

Uncorrected energy   -10.613 eV per atom
Energy relative to the elements, uncorrected   -1.64 eV per atom

Lattice parameters (Å, degrees): 6.722 6.798 6.722 119.63 120.00 90.00
Fractional positions:
Pu 0.000 0.500 0.000
Zr 0.500 0.000 0.000
Zr 0.500 0.000 0.500
Zr 0.000 0.000 0.000
Zr 0.000 0.000 0.500
Pa 0.500 0.500 0.000
Pa 0.500 0.500 0.500
Pa 0.000 0.500 0.500
N 0.258 0.766 0.008
N 0.258 0.766 0.516
N 0.244 0.233 0.489
N 0.750 0.766 0.008
N 0.250 0.234 0.992
N 0.756 0.767 0.511
N 0.742 0.234 0.484
N 0.742 0.234 0.992

***

DFT (GGA-PBE) results for a relaxed structure of Pu3Zr2PaN6.

Uncorrected energy   -11.469 eV per atom
Energy relative to the elements, uncorrected   -1.51 eV per atom

Lattice parameters (Å, degrees): 5.904 5.904 5.922 99.53 99.53 120.02
Fractional positions:
Pu 0.169 0.831 0.500
Pu 0.831 0.169 0.500
Pu 0.500 0.500 0.500
Zr 0.333 0.667 0.000
Zr 0.667 0.333 0.000
Pa 0.000 0.000 0.000
N 0.922 0.584 0.766
N 0.740 0.740 0.234
N 0.078 0.416 0.234
N 0.584 0.922 0.766
N 0.260 0.260 0.766
N 0.416 0.078 0.234

***

DFT (GGA-PBE) results for a relaxed structure of PuZrPa2N4.

Uncorrected energy   -10.963 eV per atom
Energy relative to the elements, uncorrected   -1.57 eV per atom

Lattice parameters (Å, degrees): 3.432 5.963 5.951 109.26 90.00 90.00
Fractional positions:
Pu 0.500 0.500 0.000
Zr 0.000 0.000 0.000
Pa 0.500 0.000 0.500
Pa 0.000 0.500 0.500
N 0.500 0.236 0.243
N 0.500 0.764 0.757
N 0.000 0.238 0.752
N 0.000 0.762 0.248